Crystalline PmBiTe3 at its relaxed geometry. Source: Alexandria via LeMat-Bulk, functional PBE-GGA.

POSCAR file:
```
PmBiTe3
1.0
2.230 -11.208 0.000
2.230 11.208 0.000
0.000 0.000 7.799
Pm Bi Te
2 2 6
direct
0.164 0.836 0.500
0.836 0.164 0.000
0.350 0.650 0.497
0.650 0.350 0.997
0.081 0.919 0.168
0.250 0.750 0.828
0.415 0.585 0.161
0.585 0.415 0.661
0.750 0.250 0.328
0.919 0.081 0.668
```

Summary:
**E_form (uncorrected)**: -0.795 eV/atom
**Space group**: Cmc2_1 (36)
**Crystal system**: orthorhombic

---

Crystalline Pm5Bi4Te at its relaxed geometry. Source: Alexandria via LeMat-Bulk, functional PBE-GGA.

POSCAR file:
```
Pm5Bi4Te
1.0
-5.094 5.094 3.224
5.094 -5.094 3.224
5.094 5.094 -3.224
Pm Bi Te
5 4 1
direct
0.000 0.000 0.000
0.199 0.601 0.800
0.399 0.199 0.598
0.601 0.801 0.402
0.801 0.399 0.200
0.100 0.299 0.399
0.299 0.900 0.200
0.701 0.100 0.800
0.900 0.701 0.601
0.500 0.500 0.000
```

Summary:
**E_form (uncorrected)**: -1.057 eV/atom
**Space group**: I4/m (87)
**Crystal system**: tetragonal

---

Crystalline Pm8Bi4Te3 at its relaxed geometry. Source: Alexandria via LeMat-Bulk, functional PBE-GGA.

POSCAR file:
```
Pm8Bi4Te3
1.0
6.349 -6.356 0.000
6.349 6.356 0.000
-6.307 0.000 6.359
Pm Bi Te
8 4 3
direct
0.247 0.247 0.001
0.248 0.752 0.000
0.249 0.751 0.500
0.250 0.250 0.500
0.750 0.750 0.500
0.751 0.249 0.500
0.752 0.248 0.000
0.753 0.753 0.999
0.000 0.000 0.500
0.000 0.500 0.000
0.500 0.000 0.000
0.500 0.500 0.000
0.000 0.500 0.500
0.500 0.000 0.500
0.500 0.500 0.500
```

Summary:
**E_form (uncorrected)**: -1.024 eV/atom
**Space group**: C2/m (12)
**Crystal system**: monoclinic

---

Which formula does entry 3 have? Pm8Bi4Te3